A plane-wave DFT calculation with GGA-PBE was carried out for YBMoAu2 after structural relaxation.

Lattice parameters (Å, degrees): 5.3716 5.3716 5.4650 90.00 90.00 90.00
With the nearest neighbours (Å) after each atom.
Sites, in units of the cell vectors:
Y1 0.0000 0.0000 0.0000  4 Au 2.69, 2 Mo 2.73
B1 0.5000 0.5000 0.5000  4 Mo 3.80, 8 Au 3.83
Mo1 0.0000 0.0000 0.5000  2 Y 2.73
Au1 0.0000 0.5000 0.0000  2 Y 2.69
Au2 0.5000 0.0000 0.0000  2 Y 2.69

Properties
The calculation puts the energy relative to the elements at 2.207 eV per atom. The value obtained for the density of states at the Fermi level is 0.651 states/eV/atom. As for the uncorrected energy: -3.899 eV per atom.


A plane-wave DFT calculation with GGA-PBE was carried out for ZnBMoAu2 after structural relaxation.

Lattice parameters (Å, degrees): 4.9038 4.9038 3.8348 90.00 90.00 90.00
With the nearest neighbours (Å) after each atom.
Sites, in units of the cell vectors:
Zn1 0.0000 0.0000 0.0000  2 B 1.92
B1 0.0000 0.0000 0.5000  2 Zn 1.92
Mo1 0.5000 0.5000 0.5000  8 Au 3.11, 4 B 3.47
Au1 0.0000 0.5000 0.0000  2 Zn 2.45
Au2 0.5000 0.0000 0.0000  2 Zn 2.45

Properties
The calculation puts the energy relative to the elements at 1.269 eV per atom. The value obtained for the density of states at the Fermi level is 0.593 states/eV/atom. As for the uncorrected energy: -3.799 eV per atom.


A plane-wave DFT calculation with GGA-PBE was carried out for BAuN after structural relaxation.

Lattice parameters (Å, degrees): 2.6142 2.6143 15.5004 86.09 86.30 60.00
With the nearest neighbours (Å) after each atom.
Sites, in units of the cell vectors:
B1 0.0000 0.0000 0.0000  3 N 1.51
B2 0.2792 0.2507 0.2578  3 N 1.51
Au1 0.0846 0.0647 0.7269  6 Au 2.61
Au2 0.4851 0.4152 0.5312  6 Au 2.61
N1 0.3334 0.3333 0.0001  3 B 1.51
N2 0.6126 0.5840 0.2578  3 B 1.51

Properties
The calculation puts the formation energy (no corrections) at -0.640 eV per atom. The value obtained for the density of states at the Fermi level is 0.052 states/eV/atom. As for the uncorrected energy: -6.734 eV per atom.


A plane-wave DFT calculation with GGA-PBE was carried out for BAu2N after structural relaxation.

Lattice parameters (Å, degrees): 4.1117 4.1117 4.1117 60.00 60.00 60.00
With the nearest neighbours (Å) after each atom.
Sites, in units of the cell vectors:
B1 0.0000 0.0000 0.0000  8 Au 2.52
Au1 0.2500 0.2500 0.2500  4 N 2.52, 4 B 2.52
Au2 0.7500 0.7500 0.7500  4 B 2.52, 4 N 2.52
N1 0.5000 0.5000 0.5000  8 Au 2.52

Properties
The calculation puts the formation energy (no corrections) at 1.555 eV per atom. The value obtained for the density of states at the Fermi level is 0.034 states/eV/atom. As for the uncorrected energy: -3.835 eV per atom.


A plane-wave DFT calculation with GGA-PBE was carried out for BAu2N after structural relaxation.

Lattice parameters (Å, degrees): 6.2712 6.2712 6.2712 134.65 134.65 66.08
With the nearest neighbours (Å) after each atom.
Sites, in units of the cell vectors:
B1 0.0000 0.0000 0.0000  4 Au 2.14
B2 0.7500 0.2500 0.5000  4 Au 2.14
Au1 0.1171 0.6250 0.9921  2 B 2.14, 2 N 2.18
Au2 0.3750 0.3671 0.4921  2 B 2.14, 2 N 2.18
Au3 0.6329 0.1250 0.0079  2 B 2.14, 2 N 2.18
Au4 0.8750 0.8829 0.5079  2 B 2.14, 2 N 2.18
N1 0.2500 0.7500 0.5000  4 Au 2.18
N2 0.5000 0.5000 0.0000  4 Au 2.18

Properties
The calculation puts the formation energy (no corrections) at 1.191 eV per atom. The value obtained for the density of states at the Fermi level is 0.386 states/eV/atom. As for the uncorrected energy: -4.198 eV per atom.


A plane-wave DFT calculation with GGA-PBE was carried out for BAuN after structural relaxation.

Lattice parameters (Å, degrees): 2.9734 3.3835 7.7284 77.43 78.94 89.90
With the nearest neighbours (Å) after each atom.
Sites, in units of the cell vectors:
B1 0.0721 0.0717 0.3553  2 N 1.49-1.50
B2 0.9279 0.9283 0.6447  2 N 1.49-1.50
Au1 0.3204 0.8201 0.8609  2 B 2.18
Au2 0.6796 0.1799 0.1391  2 B 2.18
N1 0.9999 0.3085 0.5001  1 N 1.30
N2 0.0001 0.6915 0.4999  1 N 1.30

Properties
The calculation puts the formation energy (no corrections) at 0.023 eV per atom. The value obtained for the density of states at the Fermi level is 0.108 states/eV/atom. As for the uncorrected energy: -6.071 eV per atom.


A plane-wave DFT calculation with GGA-PBE was carried out for BAuN after structural relaxation.

Lattice parameters (Å, degrees): 2.5867 3.9419 8.5988 88.54 81.68 89.41
With the nearest neighbours (Å) after each atom.
Sites, in units of the cell vectors:
B1 0.0000 0.0000 0.0000  3 N 1.44-1.52
B2 0.3806 0.1698 0.2424  2 N 1.45
Au1 0.2625 0.3417 0.4781  1 B 2.13
Au2 0.6501 0.7567 0.6991  1 N 2.13
N1 0.5340 0.9484 0.9310  2 B 1.44
N2 0.9167 0.1205 0.1689  3 B 1.45-1.52

Properties
The calculation puts the formation energy (no corrections) at -0.263 eV per atom. The value obtained for the density of states at the Fermi level is 0.081 states/eV/atom. As for the uncorrected energy: -6.356 eV per atom.


A plane-wave DFT calculation with GGA-PBE was carried out for BAuN after structural relaxation.

Lattice parameters (Å, degrees): 2.6070 2.6070 8.3412 85.56 86.14 60.00
With the nearest neighbours (Å) after each atom.
Sites, in units of the cell vectors:
B1 0.0000 0.0000 0.0000  3 N 1.51
Au1 0.5015 0.9589 0.5005  6 Au 2.61
N1 0.3333 0.3334 0.0000  3 B 1.51

Properties
The calculation puts the formation energy (no corrections) at -0.656 eV per atom. The value obtained for the density of states at the Fermi level is 0.102 states/eV/atom. As for the uncorrected energy: -6.749 eV per atom.


A plane-wave DFT calculation with GGA-PBE was carried out for BAuN3 after structural relaxation.

Lattice parameters (Å, degrees): 4.1101 4.1101 4.1101 90.00 90.00 90.00
With the nearest neighbours (Å) after each atom.
Sites, in units of the cell vectors:
B1 0.0000 0.0000 0.0000  12 N 2.91
Au1 0.5000 0.5000 0.5000  6 N 2.06
N1 0.0000 0.5000 0.5000  2 Au 2.06
N2 0.5000 0.0000 0.5000  2 Au 2.06
N3 0.5000 0.5000 0.0000  2 Au 2.06

Properties
The calculation puts the formation energy (no corrections) at 3.238 eV per atom. The value obtained for the density of states at the Fermi level is 0.487 states/eV/atom. As for the uncorrected energy: -3.748 eV per atom.


A plane-wave DFT calculation with GGA-PBE was carried out for B3AuN3 after structural relaxation.

Lattice parameters (Å, degrees): 4.7553 4.7553 4.7553 90.00 90.00 90.00
With the nearest neighbours (Å) after each atom.
Sites, in units of the cell vectors:
B1 0.0000 0.2500 0.5000  4 N 1.68
B2 0.0000 0.7500 0.5000  4 N 1.68
B3 0.2500 0.5000 0.0000  4 N 1.68
B4 0.5000 0.0000 0.2500  4 N 1.68
B5 0.5000 0.0000 0.7500  4 N 1.68
B6 0.7500 0.5000 0.0000  4 N 1.68
Au1 0.0000 0.0000 0.0000  12 B 2.66, 12 N 2.66
Au2 0.5000 0.5000 0.5000  12 B 2.66, 12 N 2.66
N1 0.0000 0.5000 0.2500  4 B 1.68
N2 0.0000 0.5000 0.7500  4 B 1.68
N3 0.2500 0.0000 0.5000  4 B 1.68
N4 0.5000 0.2500 0.0000  4 B 1.68
N5 0.5000 0.7500 0.0000  4 B 1.68
N6 0.7500 0.0000 0.5000  4 B 1.68

Properties
The calculation puts the formation energy (no corrections) at 0.217 eV per atom. The value obtained for the density of states at the Fermi level is 0.066 states/eV/atom. As for the uncorrected energy: -6.681 eV per atom.


A plane-wave DFT calculation with GGA-PBE was carried out for BAu3N after structural relaxation.

Lattice parameters (Å, degrees): 4.3480 4.3480 4.3480 90.00 90.00 90.00
With the nearest neighbours (Å) after each atom.
Sites, in units of the cell vectors:
B1 0.0000 0.0000 0.0000  6 Au 2.17
Au1 0.0000 0.0000 0.5000  2 B 2.17
Au2 0.0000 0.5000 0.0000  2 B 2.17
Au3 0.5000 0.0000 0.0000  2 B 2.17
N1 0.5000 0.5000 0.5000  12 Au 3.07

Properties
The calculation puts the formation energy (no corrections) at 1.338 eV per atom. The value obtained for the density of states at the Fermi level is 1.238 states/eV/atom. As for the uncorrected energy: -3.629 eV per atom.


A plane-wave DFT calculation with GGA-PBE was carried out for BAuN after structural relaxation.

Lattice parameters (Å, degrees): 5.8367 5.1554 3.2984 84.28 61.51 34.22
With the nearest neighbours (Å) after each atom.
Sites, in units of the cell vectors:
B1 0.0000 0.0000 0.0000  2 N 1.40
Au1 0.2181 0.2181 0.7819  1 B 2.18, 1 N 2.29
N1 0.4477 0.4477 0.5523  2 B 1.40

Properties
The calculation puts the formation energy (no corrections) at -0.084 eV per atom. The value obtained for the density of states at the Fermi level is 0.112 states/eV/atom. As for the uncorrected energy: -6.177 eV per atom.


A plane-wave DFT calculation with GGA-PBE was carried out for BAuN after structural relaxation.

Lattice parameters (Å, degrees): 2.6068 2.6068 8.2848 90.00 90.00 120.00
With the nearest neighbours (Å) after each atom.
Sites, in units of the cell vectors:
B1 0.0000 0.0000 0.0000  3 N 1.51
Au1 0.0000 0.0000 0.5000  6 Au 2.61
N1 0.3333 0.6667 0.0000  3 B 1.51

Properties
The calculation puts the formation energy (no corrections) at -0.656 eV per atom. The value obtained for the density of states at the Fermi level is 0.104 states/eV/atom. As for the uncorrected energy: -6.749 eV per atom.


A plane-wave DFT calculation with GGA-PBE was carried out for BAuN3 after structural relaxation.

Lattice parameters (Å, degrees): 3.4772 3.4772 3.4772 90.00 90.00 90.00
With the nearest neighbours (Å) after each atom.
Sites, in units of the cell vectors:
B1 0.0000 0.0000 0.0000  6 N 1.74
Au1 0.5000 0.5000 0.5000  12 N 2.46
N1 0.0000 0.0000 0.5000  2 B 1.74
N2 0.0000 0.5000 0.0000  2 B 1.74
N3 0.5000 0.0000 0.0000  2 B 1.74

Properties
The calculation puts the formation energy (no corrections) at 1.904 eV per atom. The value obtained for the density of states at the Fermi level is 0.645 states/eV/atom. As for the uncorrected energy: -5.082 eV per atom.


A plane-wave DFT calculation with GGA-PBE was carried out for BAuN after structural relaxation.

Lattice parameters (Å, degrees): 2.6001 3.6367 9.2695 98.30 90.08 110.87
With the nearest neighbours (Å) after each atom.
Sites, in units of the cell vectors:
B1 0.0000 0.0000 0.0000  2 N 1.45
B2 0.4281 0.8578 0.7623  3 N 1.44-1.53
Au1 0.0587 0.1176 0.2319  1 B 2.12
Au2 0.8121 0.6276 0.4653  1 N 2.13
N1 0.4806 0.9619 0.9288  3 B 1.45-1.53
N2 0.9049 0.8119 0.6953  2 B 1.44

Properties
The calculation puts the formation energy (no corrections) at -0.260 eV per atom. The value obtained for the density of states at the Fermi level is 0.118 states/eV/atom. As for the uncorrected energy: -6.354 eV per atom.


A plane-wave DFT calculation with GGA-PBE was carried out for BPd2AuN after structural relaxation.

Lattice parameters (Å, degrees): 4.9873 4.9873 2.7437 90.00 90.00 90.00
With the nearest neighbours (Å) after each atom.
Sites, in units of the cell vectors:
B1 0.0000 0.0000 0.0000  2 N 1.37
Pd1 0.0000 0.5000 0.0000  2 B 2.49, 2 Pd 2.74
Pd2 0.5000 0.0000 0.0000  2 B 2.49, 2 Pd 2.74
Au1 0.5000 0.5000 0.5000  2 Au 2.74, 8 Pd 2.85
N1 0.0000 0.0000 0.5000  2 B 1.37

Properties
The calculation puts the formation energy (no corrections) at 0.171 eV per atom. The value obtained for the density of states at the Fermi level is 0.415 states/eV/atom. As for the uncorrected energy: -5.562 eV per atom.


A plane-wave DFT calculation with GGA-PBE was carried out for BAuS2N after structural relaxation.

Lattice parameters (Å, degrees): 5.2907 5.2907 2.6663 90.00 90.00 90.00
With the nearest neighbours (Å) after each atom.
Sites, in units of the cell vectors:
B1 0.0000 0.0000 0.0000  2 N 1.33
Au1 0.5000 0.5000 0.5000  2 Au 2.67, 8 S 2.96
S1 0.0000 0.5000 0.0000  2 B 2.65, 2 S 2.67, 4 Au 2.96, 4 N 2.96
S2 0.5000 0.0000 0.0000  2 B 2.65, 2 S 2.67, 4 Au 2.96, 4 N 2.96
N1 0.0000 0.0000 0.5000  2 B 1.33

Properties
The calculation puts the formation energy (no corrections) at 0.504 eV per atom. The value obtained for the density of states at the Fermi level is 0.949 states/eV/atom. As for the uncorrected energy: -4.803 eV per atom.


A plane-wave DFT calculation with GGA-PBE was carried out for BAuS2N after structural relaxation.

Lattice parameters (Å, degrees): 5.0708 5.0708 3.7494 90.00 90.00 90.00
With the nearest neighbours (Å) after each atom.
Sites, in units of the cell vectors:
B1 0.0000 0.0000 0.0000  8 S 3.15
Au1 0.5000 0.5000 0.5000  2 N 1.87
S1 0.0000 0.5000 0.5000  2 Au 2.54
S2 0.5000 0.0000 0.5000  2 Au 2.54
N1 0.5000 0.5000 0.0000  2 Au 1.87

Properties
The calculation puts the formation energy (no corrections) at 2.062 eV per atom. The value obtained for the density of states at the Fermi level is 1.034 states/eV/atom. As for the uncorrected energy: -3.245 eV per atom.


A plane-wave DFT calculation with GGA-PBE was carried out for ScBAu2N after structural relaxation.

Lattice parameters (Å, degrees): 4.3087 4.3087 4.2726 90.00 90.00 90.00
With the nearest neighbours (Å) after each atom.
Sites, in units of the cell vectors:
Sc1 0.0000 0.0000 0.0000  2 N 2.14
B1 0.5000 0.5000 0.0000  8 Au 3.03, 4 Sc 3.05
Au1 0.0000 0.5000 0.5000  2 N 2.15
Au2 0.5000 0.0000 0.5000  2 N 2.15
N1 0.0000 0.0000 0.5000  2 Sc 2.14, 4 Au 2.15

Properties
The calculation puts the formation energy (no corrections) at 0.590 eV per atom. The value obtained for the density of states at the Fermi level is 0.681 states/eV/atom. As for the uncorrected energy: -4.988 eV per atom.


A plane-wave DFT calculation with GGA-PBE was carried out for B2AuSeN after structural relaxation.

Lattice parameters (Å, degrees): 3.6225 3.6225 4.9023 90.00 90.00 90.00
With the nearest neighbours (Å) after each atom.
Sites, in units of the cell vectors:
B1 0.0000 0.5000 0.0000  2 N 1.81
B2 0.5000 0.0000 0.0000  2 N 1.81
Au1 0.0000 0.0000 0.5000  4 Se 2.56
Se1 0.5000 0.5000 0.5000  2 N 2.45, 4 Au 2.56
N1 0.5000 0.5000 0.0000  4 B 1.81

Properties
The calculation puts the formation energy (no corrections) at 1.692 eV per atom. The value obtained for the density of states at the Fermi level is 0.433 states/eV/atom. As for the uncorrected energy: -3.997 eV per atom.